# 1
# Ce2TaSi

A geometry-optimized Ce2TaSi structure (PBE, Alexandria).

```
Ce2TaSi
1.0
1.5131 0.8736 10.7832
-1.5131 0.8736 10.7832
0.0000 -1.7471 10.7832
Ce Ta Si
2 1 1
direct
0.0889 0.0889 0.0889
0.9111 0.9111 0.9111
0.0000 0.0000 0.0000
0.5000 0.5000 0.5000
```

* space-group type: R-3m
* formation energy without anion corrections: 1.09 eV per formula unit
* DOS(E_F): 7.1 states/eV/cell
* magnetization: 0.0 μB/f.u.

=====

# 2
# Er3InCu

A geometry-optimized Er3InCu structure (PBE, Alexandria).

```
Er3InCu
1.0
3.6831 0.0000 0.0000
0.0000 4.9239 7.6101
0.0000 -4.9239 7.6101
Er In Cu
6 2 2
direct
0.0000 0.0000 0.0000
0.0000 0.3493 0.3493
0.5000 0.3368 0.7231
0.5000 0.5570 0.9700
0.5000 0.7231 0.3368
0.5000 0.9700 0.5570
0.0000 0.6508 0.6508
0.5000 0.1677 0.1677
0.0000 0.1309 0.6692
0.0000 0.6692 0.1309
```

* space-group type: Amm2
* calculated formation energy: -0.10 eV/atom
* DOS(E_F): 9.8 states/eV/cell
* magnetization: 0.0 μB/f.u.